Density functional theory data (GGA-PBE) for ScBeAl2 after structural relaxation.

Its spin magnetization is 0.000 μB per cell. The formation energy is -0.06 eV per atom.

It has space group Immm (No. 71), with a = 3.333 Å, b = 4.266 Å, c = 9.170 Å, α = 90.00°, β = 90.00° and γ = 90.00°. The inequivalent atoms are Sc at (0.000, 0.000, 0.000), Be at (0.000, 0.000, 0.500) and Al at (0.000, 0.500, 0.228).